An optimized crystal structure of Ir5Ru5Rh2, computed with PBE.

Values from the calculation:
SG: P-1, No. 2
Calculated volume in Å³/cell: 170.46
Electronic total energy in eV per atom: -8.79
Crystal system: triclinic

Cell: 4.7040 4.7079 9.0202 Å, 85.00 80.03 60.05°
Element x y z (fractional)
Ir1 0.0000 0.0000 0.0000
Ir2 0.1702 0.6670 0.4994
Ir3 0.2527 0.9991 0.2482
Ir4 0.7473 0.0009 0.7518
Ir5 0.8298 0.3330 0.5006
Ru1 0.3390 0.3313 0.9990
Ru2 0.4177 0.6665 0.7506
Ru3 0.5000 0.0000 0.5000
Ru4 0.5823 0.3335 0.2494
Ru5 0.6610 0.6687 0.0010
Rh1 0.0846 0.3336 0.7506
Rh2 0.9154 0.6664 0.2494